Entry from Alexandria: a geometry-optimized Cs3Y2MnO6 structure (GGA+U).

The total energy is -78.40 eV/cell. The density of states at the Fermi level comes out at 0.000 states/eV/atom. Its symmetry is C2/m (12). The mass density is 5.5 g/cm3.

a = 5.9885 Å, b = 5.9885 Å, c = 7.2287 Å
α = 99.87°, β = 99.87°, γ = 116.93°
Each line ends with the local moment (μB).
Element x y z (fractional)
Y 0.6634 0.3366 0.0000  0.01
Y 0.3366 0.6634 0.0000  0.01
Cs 0.1660 0.8340 0.5000  0.00
Cs 0.8340 0.1660 0.5000  0.00
Cs 0.5000 0.5000 0.5000  0.00
O 0.2982 0.2982 0.8089  0.03
O 0.6448 0.9422 0.8539  -0.04
O 0.7018 0.7018 0.1911  0.03
O 0.0578 0.3552 0.1461  -0.04
O 0.3552 0.0578 0.1461  -0.04
O 0.9422 0.6448 0.8539  -0.04
Mn 0.0000 0.0000 0.0000  3.98